[1]
{
  "formula": "CoHCO4",
  "functional": "PBE with a Hubbard U",
  "state": "optimized geometry",
  "dft_energy_ev_per_cell": -271.03,
  "space_group": "P6_3/m",
  "lattice_angstrom": [[10.196, 0.000, 0.000], [-5.098, 8.830, 0.000], [0.000, 0.000, 6.202]],
  "species": ["Co", "Co", "Co", "Co", "Co", "Co", "H", "H", "H", "H", "H", "H", "C", "C", "C", "C", "C", "C", "O", "O", "O", "O", "O", "O", "O", "O", "O", "O", "O", "O", "O", "O", "O", "O", "O", "O", "O", "O", "O", "O", "O", "O"],
  "fractional_positions": [[0.000, 0.500, 0.500], [0.000, 0.500, 0.000], [0.500, 0.500, 0.500], [0.500, 0.500, 0.000], [0.500, 0.000, 0.500], [0.500, 0.000, 0.000], [0.190, 0.643, 0.750], [0.452, 0.810, 0.750], [0.357, 0.548, 0.750], [0.643, 0.452, 0.250], [0.548, 0.190, 0.250], [0.810, 0.357, 0.250], [0.201, 0.764, 0.250], [0.236, 0.436, 0.250], [0.564, 0.799, 0.250], [0.436, 0.201, 0.750], [0.764, 0.564, 0.750], [0.799, 0.236, 0.750], [0.143, 0.704, 0.435], [0.143, 0.704, 0.065], [0.324, 0.894, 0.250], [0.123, 0.531, 0.750], [0.106, 0.430, 0.250], [0.408, 0.877, 0.750], [0.296, 0.438, 0.435], [0.296, 0.438, 0.065], [0.562, 0.857, 0.065], [0.562, 0.857, 0.435], [0.469, 0.592, 0.750], [0.570, 0.676, 0.250], [0.430, 0.324, 0.750], [0.531, 0.408, 0.250], [0.438, 0.143, 0.565], [0.438, 0.143, 0.935], [0.704, 0.562, 0.935], [0.704, 0.562, 0.565], [0.592, 0.123, 0.250], [0.894, 0.570, 0.750], [0.877, 0.469, 0.250], [0.676, 0.106, 0.750], [0.857, 0.296, 0.935], [0.857, 0.296, 0.565]]
}

=====

[2]
{
  "formula": "CoH8C2O10",
  "functional": "PBE with a Hubbard U",
  "state": "optimized geometry",
  "dft_energy_ev_per_cell": -243.88,
  "space_group": "P2_1/c",
  "lattice_angstrom": [[-6.117, -0.498, -1.483], [0.585, -6.177, -0.338], [-1.968, -5.348, 9.915]],
  "species": ["Co", "Co", "H", "H", "H", "H", "H", "H", "H", "H", "H", "H", "H", "H", "H", "H", "H", "H", "C", "C", "C", "C", "O", "O", "O", "O", "O", "O", "O", "O", "O", "O", "O", "O", "O", "O", "O", "O", "O", "O", "O", "O"],
  "fractional_positions": [[0.000, 0.000, 0.000], [0.500, 0.000, 0.500], [0.693, 0.281, 0.947], [0.692, 0.826, 0.954], [0.909, 0.423, 0.880], [0.881, 0.828, 0.847], [0.409, 0.577, 0.620], [0.381, 0.172, 0.653], [0.193, 0.719, 0.553], [0.192, 0.174, 0.546], [0.808, 0.826, 0.454], [0.807, 0.281, 0.447], [0.619, 0.828, 0.347], [0.591, 0.423, 0.380], [0.119, 0.172, 0.153], [0.091, 0.577, 0.120], [0.308, 0.174, 0.046], [0.307, 0.719, 0.053], [0.365, 0.249, 0.842], [0.865, 0.751, 0.658], [0.135, 0.249, 0.342], [0.635, 0.751, 0.158], [0.854, 0.290, 0.960], [0.452, 0.277, 0.937], [0.815, 0.922, 0.894], [0.181, 0.142, 0.854], [0.952, 0.681, 0.768], [0.452, 0.319, 0.732], [0.681, 0.858, 0.646], [0.952, 0.723, 0.563], [0.354, 0.710, 0.540], [0.315, 0.078, 0.606], [0.685, 0.922, 0.394], [0.646, 0.290, 0.460], [0.048, 0.277, 0.437], [0.319, 0.142, 0.354], [0.548, 0.681, 0.268], [0.048, 0.319, 0.232], [0.819, 0.858, 0.146], [0.185, 0.078, 0.106], [0.548, 0.723, 0.063], [0.146, 0.710, 0.040]]
}

=====

[3]
{
  "formula": "Rb2CoH8C2O10",
  "functional": "PBE with a Hubbard U",
  "state": "optimized geometry",
  "dft_energy_ev_per_cell": -264.31,
  "dos_at_fermi_per_ev_cell": 0.00,
  "space_group": "P2_1/c",
  "lattice_angstrom": [[6.477, 0.000, 0.000], [0.000, 7.209, 0.024], [0.000, 5.366, 11.233]],
  "species": ["Rb", "Rb", "Rb", "Rb", "Co", "Co", "H", "H", "H", "H", "H", "H", "H", "H", "H", "H", "H", "H", "H", "H", "H", "H", "C", "C", "C", "C", "O", "O", "O", "O", "O", "O", "O", "O", "O", "O", "O", "O", "O", "O", "O", "O", "O", "O", "O", "O"],
  "fractional_positions": [[0.655, 0.244, 0.676], [0.155, 0.756, 0.824], [0.345, 0.756, 0.324], [0.845, 0.244, 0.176], [0.500, 0.000, 0.000], [0.000, 0.000, 0.500], [0.661, 0.797, 0.872], [0.161, 0.203, 0.628], [0.339, 0.203, 0.128], [0.839, 0.797, 0.372], [0.797, 0.797, 0.986], [0.297, 0.203, 0.514], [0.203, 0.203, 0.014], [0.703, 0.797, 0.486], [0.827, 0.289, 0.914], [0.879, 0.423, 0.381], [0.173, 0.711, 0.086], [0.673, 0.289, 0.414], [0.621, 0.423, 0.881], [0.121, 0.577, 0.619], [0.379, 0.577, 0.119], [0.327, 0.711, 0.586], [0.659, 0.748, 0.682], [0.159, 0.252, 0.818], [0.841, 0.748, 0.182], [0.341, 0.252, 0.318], [0.824, 0.283, 0.434], [0.324, 0.717, 0.066], [0.176, 0.717, 0.566], [0.676, 0.283, 0.934], [0.789, 0.884, 0.412], [0.289, 0.116, 0.088], [0.690, 0.880, 0.152], [0.190, 0.120, 0.348], [0.310, 0.120, 0.848], [0.810, 0.880, 0.652], [0.918, 0.679, 0.289], [0.418, 0.321, 0.211], [0.082, 0.321, 0.711], [0.211, 0.116, 0.588], [0.917, 0.686, 0.107], [0.417, 0.314, 0.393], [0.083, 0.314, 0.893], [0.583, 0.686, 0.607], [0.711, 0.884, 0.912], [0.582, 0.679, 0.789]]
}

=====

Copy entry 3 word for word.
{
  "formula": "Rb2CoH8C2O10",
  "functional": "PBE with a Hubbard U",
  "state": "optimized geometry",
  "dft_energy_ev_per_cell": -264.31,
  "dos_at_fermi_per_ev_cell": 0.00,
  "space_group": "P2_1/c",
  "lattice_angstrom": [[6.477, 0.000, 0.000], [0.000, 7.209, 0.024], [0.000, 5.366, 11.233]],
  "species": ["Rb", "Rb", "Rb", "Rb", "Co", "Co", "H", "H", "H", "H", "H", "H", "H", "H", "H", "H", "H", "H", "H", "H", "H", "H", "C", "C", "C", "C", "O", "O", "O", "O", "O", "O", "O", "O", "O", "O", "O", "O", "O", "O", "O", "O", "O", "O", "O", "O"],
  "fractional_positions": [[0.655, 0.244, 0.676], [0.155, 0.756, 0.824], [0.345, 0.756, 0.324], [0.845, 0.244, 0.176], [0.500, 0.000, 0.000], [0.000, 0.000, 0.500], [0.661, 0.797, 0.872], [0.161, 0.203, 0.628], [0.339, 0.203, 0.128], [0.839, 0.797, 0.372], [0.797, 0.797, 0.986], [0.297, 0.203, 0.514], [0.203, 0.203, 0.014], [0.703, 0.797, 0.486], [0.827, 0.289, 0.914], [0.879, 0.423, 0.381], [0.173, 0.711, 0.086], [0.673, 0.289, 0.414], [0.621, 0.423, 0.881], [0.121, 0.577, 0.619], [0.379, 0.577, 0.119], [0.327, 0.711, 0.586], [0.659, 0.748, 0.682], [0.159, 0.252, 0.818], [0.841, 0.748, 0.182], [0.341, 0.252, 0.318], [0.824, 0.283, 0.434], [0.324, 0.717, 0.066], [0.176, 0.717, 0.566], [0.676, 0.283, 0.934], [0.789, 0.884, 0.412], [0.289, 0.116, 0.088], [0.690, 0.880, 0.152], [0.190, 0.120, 0.348], [0.310, 0.120, 0.848], [0.810, 0.880, 0.652], [0.918, 0.679, 0.289], [0.418, 0.321, 0.211], [0.082, 0.321, 0.711], [0.211, 0.116, 0.588], [0.917, 0.686, 0.107], [0.417, 0.314, 0.393], [0.083, 0.314, 0.893], [0.583, 0.686, 0.607], [0.711, 0.884, 0.912], [0.582, 0.679, 0.789]]
}

=====

> Which formula does entry 3 have?

Rb2CoH8C2O10